(1)
{"formula": "MnRuAu2S", "functional": "GGA-PBE", "state": "optimized geometry", "lattice_angstrom": [[4.8529, 0.0000, 0.0000], [0.0000, 4.8529, 0.0000], [0.0000, 0.0000, 4.3561]], "species": ["Mn", "Ru", "Au", "Au", "S"], "fractional_positions": [[0.0000, 0.0000, 0.0000], [0.0000, 0.0000, 0.5000], [0.0000, 0.5000, 0.0000], [0.5000, 0.0000, 0.0000], [0.5000, 0.5000, 0.5000]], "e_above_lowest_polymorph_mev_per_atom": 557, "space_group": "P4/mmm", "e_tot_ev_per_cell": -22.87, "formation_energy_uncorrected_mev_per_atom": 1251, "volume_a3_per_cell": 102.59}

(2)
{"formula": "MnRuAu2S", "functional": "GGA-PBE", "state": "optimized geometry", "lattice_angstrom": [[4.7464, 0.0000, 0.0000], [0.0000, 4.7464, 0.0000], [0.0000, 0.0000, 4.3242]], "species": ["Mn", "Ru", "Au", "Au", "S"], "fractional_positions": [[0.0000, 0.0000, 0.0000], [0.5000, 0.5000, 0.0000], [0.0000, 0.5000, 0.5000], [0.5000, 0.0000, 0.5000], [0.5000, 0.5000, 0.5000]], "e_above_lowest_polymorph_mev_per_atom": 0, "space_group": "P4/mmm", "e_tot_ev_per_cell": -25.66, "formation_energy_uncorrected_mev_per_atom": 694, "volume_a3_per_cell": 97.41}

(3)
{"formula": "ScMnRuAu", "functional": "GGA-PBE", "state": "optimized geometry", "lattice_angstrom": [[0.0000, 3.2074, 3.2074], [3.2074, 0.0000, 3.2074], [3.2074, 3.2074, 0.0000]], "species": ["Sc", "Mn", "Ru", "Au"], "fractional_positions": [[0.0000, 0.0000, 0.0000], [0.5000, 0.5000, 0.5000], [0.2500, 0.2500, 0.2500], [0.7500, 0.7500, 0.7500]], "space_group": "F-43m", "e_form_ev_per_atom": -0.2668, "e_tot_ev_per_cell": -29.12, "volume_a3_per_cell": 65.99}